First-principles (GGA+U) data for a relaxed CaMoBrF2 crystal, as listed in Alexandria via LeMat-Bulk.

a = 4.276 Å, b = 8.445 Å, c = 4.276 Å
α = 90.00°, β = 90.00°, γ = 90.00°
Site moments in Bohr magnetons follow the coordinates.
Fractional positions:
F 0.500 0.000 0.000  0.00
F 0.000 0.000 0.500  0.00
Br 0.500 0.500 0.500  -0.02
Ca 0.000 0.000 0.000  0.00
Mo 0.000 0.500 0.000  4.19

Summary:
**Raw total energy**: -4.748 eV per atom
**Symmetry**: P4/mmm, No. 123